Density functional theory data (PBE-GGA) for Cu3ReIr after structural relaxation.

Results
Final energy in eV per cell: -24.27
Symmetry: No. 221
E above lowest polymorph in meV/atom: 0
Crystal system: cubic
ΔH_f (0 K) in kJ/mol of formula units: 900

Unit cell a=4.575 b=4.575 c=4.575 alpha=90.00 beta=90.00 gamma=90.00
Fractional positions:
Cu 0.000 0.000 0.500
Cu 0.000 0.500 0.000
Cu 0.500 0.000 0.000
Re 0.500 0.500 0.500
Ir 0.000 0.000 0.000